First-principles (PBE) data for a relaxed structure of CuSbI, as listed in Alexandria.

a b c (Å): 8.5096 4.1662 7.3456
angles (deg): 79.54 54.44 71.89
Element x y z (fractional)
Cu: 0.5613 0.6596 0.4774
Cu: 0.1956 0.6576 0.2084
Sb: 0.5017 0.8314 0.8426
Sb: 0.2558 0.4845 0.8432
I: 0.0682 0.1565 0.4643
I: 0.6893 0.1603 0.2214

Summary:
SG = P-1, No. 2

---

First-principles (PBE) data for a relaxed structure of Cu3SbI, as listed in Alexandria.

a b c (Å): 4.9770 4.9770 4.9770
angles (deg): 90.00 90.00 90.00
Element x y z (fractional)
I: 0.5000 0.5000 0.5000
Sb: 0.0000 0.0000 0.0000
Cu: 0.0000 0.5000 0.0000
Cu: 0.0000 0.0000 0.5000
Cu: 0.5000 0.0000 0.0000

Summary:
density of states at the Fermi level = 6.490 states/eV/f.u.
SG = Pm-3m, No. 221
E above lowest polymorph = 0 kJ/mol of formula units

---

First-principles (PBE) data for a relaxed structure of Cu2SbI, as listed in Alexandria.

a b c (Å): 6.2092 6.2092 7.0714
angles (deg): 63.96 63.96 90.00
Element x y z (fractional)
I: 0.0000 0.0000 0.0000
I: 0.7500 0.2500 0.5000
Sb: 0.5000 0.5000 0.0000
Sb: 0.2500 0.7500 0.5000
Cu: 0.6095 0.1250 0.2500
Cu: 0.1405 0.6250 0.2500
Cu: 0.3750 0.3905 0.7500
Cu: 0.8750 0.8595 0.7500

Summary:
density of states at the Fermi level = 1.485 states/eV/f.u.
SG = I-42d, No. 122
E above lowest polymorph = 0 kJ/mol of formula units

---

no.,formation energy without anion corrections (eV/atom)
1,-0.0684
2,0.5104
3,0.1599